a) {"formula": "PrVSb3", "functional": "PBE", "state": "relaxed", "lattice": [[13.268, 0.000, 0.000], [0.000, 6.346, 0.000], [0.000, 0.000, 6.026]], "species": ["Pr", "Pr", "Pr", "Pr", "V", "V", "V", "V", "Sb", "Sb", "Sb", "Sb", "Sb", "Sb", "Sb", "Sb", "Sb", "Sb", "Sb", "Sb"], "frac_coords": [[0.190, 0.002, 0.250], [0.190, 0.498, 0.750], [0.810, 0.502, 0.250], [0.810, 0.998, 0.750], [0.406, 0.750, 0.000], [0.406, 0.750, 0.500], [0.594, 0.250, 0.000], [0.594, 0.250, 0.500], [0.001, 0.750, 0.000], [0.001, 0.750, 0.500], [0.283, 0.002, 0.750], [0.283, 0.498, 0.250], [0.435, 0.103, 0.250], [0.435, 0.397, 0.750], [0.565, 0.603, 0.250], [0.565, 0.897, 0.750], [0.717, 0.502, 0.750], [0.717, 0.998, 0.250], [0.999, 0.250, 0.000], [0.999, 0.250, 0.500]], "n_ef_per_ev_cell": 10.4, "sg": "No. 57"}

=====

b) {"formula": "PrVSb3", "functional": "PBE", "state": "relaxed", "lattice": [[10.718, 0.000, 0.000], [0.000, 8.086, 0.000], [0.000, 0.000, 6.327]], "species": ["Pr", "Pr", "Pr", "Pr", "V", "V", "V", "V", "Sb", "Sb", "Sb", "Sb", "Sb", "Sb", "Sb", "Sb", "Sb", "Sb", "Sb", "Sb"], "frac_coords": [[0.185, 0.071, 0.250], [0.185, 0.429, 0.750], [0.815, 0.571, 0.250], [0.815, 0.929, 0.750], [0.312, 0.750, 0.000], [0.312, 0.750, 0.500], [0.688, 0.250, 0.000], [0.688, 0.250, 0.500], [0.053, 0.750, 0.000], [0.053, 0.750, 0.500], [0.272, 0.032, 0.750], [0.272, 0.468, 0.250], [0.482, 0.224, 0.250], [0.482, 0.276, 0.750], [0.518, 0.724, 0.250], [0.518, 0.776, 0.750], [0.728, 0.532, 0.750], [0.728, 0.968, 0.250], [0.947, 0.250, 0.000], [0.947, 0.250, 0.500]], "n_ef_per_ev_cell": 14.2, "sg": "No. 57"}

=====

c) {"formula": "PrVSb3", "functional": "PBE", "state": "relaxed", "lattice": [[10.684, 0.000, 0.000], [0.000, 3.475, 0.000], [0.000, 0.000, 8.145]], "species": ["Pr", "Pr", "V", "V", "Sb", "Sb", "Sb", "Sb", "Sb", "Sb"], "frac_coords": [[0.250, 0.000, 0.150], [0.750, 0.000, 0.850], [0.250, 0.500, 0.802], [0.750, 0.500, 0.198], [0.055, 0.000, 0.827], [0.250, 0.500, 0.484], [0.445, 0.000, 0.827], [0.555, 0.000, 0.173], [0.750, 0.500, 0.516], [0.945, 0.000, 0.173]], "n_ef_per_ev_cell": 6.9, "sg": "No. 51"}

=====

Question: of the structures shown, which is the least stable? Reply: c).